# 1
Entry from Alexandria via LeMat-Bulk: a relaxed Dy5Pb crystal (PBE).

Cell lengths 4.866, 15.052, 4.899 Å; angles 90.00, 90.00, 90.00 degrees
Fractional positions:
Dy  0.000  0.000  0.000
Dy  0.000  0.163  0.500
Dy  0.000  0.331  0.000
Dy  0.000  0.669  0.000
Dy  0.000  0.837  0.500
Dy  0.500  0.169  0.000
Dy  0.500  0.337  0.500
Dy  0.500  0.500  0.000
Dy  0.500  0.663  0.500
Dy  0.500  0.831  0.000
Pb  0.000  0.500  0.500
Pb  0.500  0.000  0.500

Summary:
- E_form: -0.187 eV/atom
- Calculated volume: 29.90 Å³ per atom
- Symmetry: Cmmm

---

# 2
Entry from Alexandria via LeMat-Bulk: a relaxed Dy5Pb2 crystal (PBE).

Cell lengths 8.614, 8.614, 8.590 Å; angles 96.30, 96.30, 42.79 degrees
Fractional positions:
Dy  0.118  0.322  0.313
Dy  0.179  0.821  0.750
Dy  0.243  0.540  0.061
Dy  0.322  0.118  0.813
Dy  0.460  0.757  0.439
Dy  0.540  0.243  0.561
Dy  0.678  0.882  0.187
Dy  0.757  0.460  0.939
Dy  0.821  0.179  0.250
Dy  0.882  0.678  0.687
Pb  0.088  0.718  0.414
Pb  0.282  0.912  0.086
Pb  0.718  0.088  0.914
Pb  0.912  0.282  0.586

Summary:
- E_form: -0.287 eV/atom
- Offset from the most stable computed form: 46 meV per atom
- Calculated volume: 30.71 Å³ per atom
- Symmetry: C2/c

---

# 3
Entry from Alexandria via LeMat-Bulk: a relaxed DyPb4 crystal (PBE).

Cell lengths 5.846, 5.846, 5.846 Å; angles 90.00, 90.00, 90.00 degrees
Fractional positions:
Dy  0.000  0.000  0.000
Pb  0.000  0.000  0.500
Pb  0.000  0.500  0.000
Pb  0.500  0.000  0.000
Pb  0.500  0.500  0.500

Summary:
- E_form: 0.418 eV/atom
- Calculated volume: 39.97 Å³ per atom
- Symmetry: Pm-3m

---

# 4
Entry from Alexandria via LeMat-Bulk: a relaxed Dy5Pb2 crystal (PBE).

Cell lengths 20.028, 20.028, 4.600 Å; angles 90.00, 90.00, 166.80 degrees
Fractional positions:
Dy  0.035  0.965  0.750
Dy  0.109  0.891  0.250
Dy  0.250  0.750  0.750
Dy  0.324  0.676  0.250
Dy  0.465  0.535  0.750
Dy  0.535  0.465  0.250
Dy  0.676  0.324  0.750
Dy  0.750  0.250  0.250
Dy  0.891  0.109  0.750
Dy  0.965  0.035  0.250
Pb  0.189  0.811  0.250
Pb  0.403  0.597  0.250
Pb  0.597  0.403  0.750
Pb  0.811  0.189  0.750

Summary:
- E_form: -0.334 eV/atom
- Offset from the most stable computed form: 0 meV per atom
- Calculated volume: 30.09 Å³ per atom
- Symmetry: Cmcm

---

# 5
Entry from Alexandria via LeMat-Bulk: a relaxed DyPb2 crystal (PBE).

Cell lengths 6.419, 6.419, 6.419 Å; angles 60.00, 60.00, 60.00 degrees
Fractional positions:
Dy  0.125  0.125  0.125
Dy  0.875  0.875  0.875
Pb  0.000  0.500  0.500
Pb  0.500  0.000  0.500
Pb  0.500  0.500  0.000
Pb  0.500  0.500  0.500

Summary:
- E_form: -0.042 eV/atom
- Calculated volume: 31.17 Å³ per atom
- Symmetry: Fd-3m

---

# 6
Entry from Alexandria via LeMat-Bulk: a relaxed Dy5Pb4 crystal (PBE).

Cell lengths 7.447, 7.447, 7.447 Å; angles 100.08, 100.08, 130.54 degrees
Fractional positions:
Dy  0.000  0.000  0.000
Dy  0.240  0.603  0.843
Dy  0.397  0.240  0.637
Dy  0.603  0.760  0.363
Dy  0.760  0.397  0.157
Pb  0.078  0.316  0.394
Pb  0.316  0.922  0.238
Pb  0.684  0.078  0.762
Pb  0.922  0.684  0.606

Summary:
- E_form: -0.230 eV/atom
- Calculated volume: 31.67 Å³ per atom
- Symmetry: I4/m

---

# 7
Entry from Alexandria via LeMat-Bulk: a relaxed DyPb3 crystal (PBE).

Cell lengths 4.878, 4.878, 4.878 Å; angles 90.00, 90.00, 90.00 degrees
Fractional positions:
Dy  0.000  0.000  0.000
Pb  0.000  0.500  0.500
Pb  0.500  0.000  0.500
Pb  0.500  0.500  0.000

Summary:
- E_form: -0.276 eV/atom
- Calculated volume: 29.02 Å³ per atom
- Symmetry: Pm-3m

---

# 8
Entry from Alexandria via LeMat-Bulk: a relaxed DyPb2 crystal (PBE).

Cell lengths 3.948, 3.948, 11.269 Å; angles 90.00, 90.00, 90.00 degrees
Fractional positions:
Dy  0.000  0.000  0.000
Dy  0.500  0.500  0.500
Pb  0.000  0.000  0.334
Pb  0.000  0.000  0.666
Pb  0.500  0.500  0.166
Pb  0.500  0.500  0.834

Summary:
- E_form: -0.188 eV/atom
- Calculated volume: 29.27 Å³ per atom
- Symmetry: I4/mmm